# 1
DyMgP: relaxed, PBE.

abc: 4.7730 4.7730 8.8627
angles: 74.38 74.38 60.00
Closest atoms and distances in Å follow each position.
Sites, in units of the cell vectors:
Mg1 0.1841 0.1841 0.4478  1 P 2.51
Mg2 0.8159 0.8159 0.5522  1 P 2.51
Dy1 0.6085 0.6085 0.1745  4 P 2.73-2.76
Dy2 0.3915 0.3915 0.8255  4 P 2.73-2.76
P1 0.7165 0.7165 0.8506  1 Mg 2.51, 4 Dy 2.73-2.76
P2 0.2835 0.2835 0.1494  1 Mg 2.51, 4 Dy 2.73-2.76

## Properties
Its symmetry is No. 166.



# 2
Dy2MgP: relaxed, PBE.

abc: 3.7628 3.7628 10.1399
angles: 79.31 79.31 60.00
Closest atoms and distances in Å follow each position.
Sites, in units of the cell vectors:
Dy1 0.1125 0.1125 0.6625  3 P 2.70
Dy2 0.8875 0.8875 0.3375  3 P 2.70
P1 0.5000 0.5000 0.5000  6 Dy 2.70
Mg1 0.0000 0.0000 0.0000  2 Dy 3.34

## Properties
Its symmetry is No. 166.



no.,DOS at the Fermi energy (states/eV/cell),E_form (meV/atom)
1,1.9,-659
2,4.9,-486